Compound: Ag2AsPb2
Source: Alexandria via LeMat-Bulk
Functional: GGA-PBE
Structure: optimized geometry

As for the formation energy: 122 meV/atom. For the spin magnetization, the calculation gives 0.000 μB/atom. For the calculated density, the calculation gives 9.7 g/cm³.

It has space group P4/mbm (No. 127), with a = 7.270 Å, b = 7.270 Å, c = 4.586 Å, α = 90.00°, β = 90.00° and γ = 90.00°. The asymmetric unit holds Ag at (0.137, 0.363, 0.000), As at (0.000, 0.000, 0.000) and Pb at (0.170, 0.670, 0.500).

---

Compound: Nd4Mn
Source: Alexandria via LeMat-Bulk
Functional: GGA-PBE
Structure: optimized geometry

As for the formation energy: 294 meV/atom. For the spin magnetization, the calculation gives 0.116 μB/atom. For the calculated density, the calculation gives 6.5 g/cm³.

It has space group Pm-3m (No. 221), with a = 5.441 Å, b = 5.441 Å, c = 5.441 Å, α = 90.00°, β = 90.00° and γ = 90.00°. The asymmetric unit holds Nd at (0.000, 0.000, 0.000), Nd at (0.000, 0.500, 0.500) and Mn at (0.500, 0.500, 0.500).

---

Compound: CaB6
Source: Alexandria via LeMat-Bulk
Functional: GGA-PBE
Structure: optimized geometry

As for the formation energy: 190 meV/atom. For the spin magnetization, the calculation gives 0.000 μB/atom. For the calculated density, the calculation gives 2.7 g/cm³.

It has space group Im-3m (No. 229), with a = 5.046 Å, b = 5.046 Å, c = 5.046 Å, α = 90.00°, β = 90.00° and γ = 90.00°. The asymmetric unit holds Ca at (0.000, 0.000, 0.000) and B at (0.000, 0.250, 0.500).

---

Compound: SmErTm5Th2
Source: Alexandria via LeMat-Bulk
Functional: GGA-PBE
Structure: optimized geometry

As for the formation energy: 346 meV/atom. For the spin magnetization, the calculation gives 0.000 μB/atom. For the calculated density, the calculation gives 9.3 g/cm³.

It has space group I4/mcm (No. 140), with a = 8.677 Å, b = 8.677 Å, c = 15.350 Å, α = 90.00°, β = 90.00° and γ = 90.00°. The asymmetric unit holds Sm at (0.000, 0.500, 0.250), Er at (0.000, 0.000, 0.250), Tm at (0.000, 0.000, 0.000), Tm at (0.210, 0.290, 0.141) and Th at (0.119, 0.381, 0.500).

---

Compound: SiSe
Source: Alexandria via LeMat-Bulk
Functional: GGA-PBE
Structure: optimized geometry

As for the formation energy (no corrections): 153 meV per atom. For the spin magnetization, the calculation gives 0.000 μB/atom. For the calculated density, the calculation gives 3.3 g/cm³.

It has space group P6_3/m (No. 176), with a = 8.2464 Å, b = 8.2464 Å, c = 5.5281 Å, α = 90.00°, β = 90.00° and γ = 120.00°. The asymmetric unit holds Si at (0.0066, 0.3608, 0.2500) and Se at (0.0623, 0.6848, 0.2500).

---

Compound: HfTl2TeO6
Source: Alexandria via LeMat-Bulk
Functional: GGA-PBE
Structure: optimized geometry

As for the formation energy (no corrections): -1613 meV per atom. For the spin magnetization, the calculation gives 0.000 μB/atom. For the calculated density, the calculation gives 8.7 g/cm³.

It has space group R-3m (No. 166, hexagonal axes), with a = 6.0525 Å, b = 6.0525 Å, c = 29.1347 Å, α = 90.00°, β = 90.00° and γ = 120.00°. The asymmetric unit holds Hf at (0.0000, 0.0000, 0.1001), Tl at (0.0000, 0.0000, 0.2301), Tl at (0.0000, 0.0000, 0.3668), Te at (0.0000, 0.0000, 0.0000), Te at (0.0000, 0.0000, 0.5000), O at (0.0209, 0.5105, 0.2041) and O at (0.0496, 0.5248, 0.6226).

---

Compound: TbCePr2Bi5
Source: Alexandria via LeMat-Bulk
Functional: GGA-PBE
Structure: optimized geometry

As for the formation energy: -98 meV/atom. For the spin magnetization, the calculation gives 0.000 μB/atom. For the calculated density, the calculation gives 7.3 g/cm³.

It has space group P4/mmm (No. 123), with a = 5.576 Å, b = 5.576 Å, c = 11.943 Å, α = 90.00°, β = 90.00° and γ = 90.00°. The asymmetric unit holds Tb at (0.000, 0.000, 0.000), Ce at (0.000, 0.000, 0.500), Pr at (0.500, 0.500, 0.277), Bi at (0.000, 0.000, 0.246), Bi at (0.000, 0.500, 0.500) and Bi at (0.500, 0.500, 0.000).

---

Compound: Na2SnHgSe4
Source: Alexandria via LeMat-Bulk
Functional: GGA-PBE
Structure: optimized geometry

As for the formation energy (no corrections): -569 meV per atom. For the spin magnetization, the calculation gives 0.000 μB/atom. For the calculated density, the calculation gives 5.5 g/cm³.

It has space group C2/c (No. 15), with a = 11.361 Å, b = 12.003 Å, c = 8.056 Å, α = 90.00°, β = 131.90° and γ = 90.00°. The asymmetric unit holds Na at (0.000, 0.000, 0.000), Na at (0.250, 0.250, 0.000), Sn at (0.000, 0.500, 0.000), Hg at (0.250, 0.250, 0.500), Se at (0.022, 0.271, 0.510) and Se at (0.227, 0.493, 0.970).

---

Compound: GeBiN2
Source: Alexandria via LeMat-Bulk
Functional: GGA-PBE
Structure: optimized geometry

As for the formation energy (no corrections): 1376 meV per atom. For the spin magnetization, the calculation gives 0.000 μB/atom. For the calculated density, the calculation gives 9.3 g/cm³.

It has space group Fm-3m (No. 225), with a = 6.041 Å, b = 6.041 Å, c = 6.041 Å, α = 90.00°, β = 90.00° and γ = 90.00°. The asymmetric unit holds Ge at (0.000, 0.000, 0.000), Bi at (0.000, 0.000, 0.500) and N at (0.250, 0.250, 0.250).

---

Compound: Ga2HgBi
Source: Alexandria via LeMat-Bulk
Functional: GGA-PBE
Structure: optimized geometry

As for the formation energy: 86 meV/atom. For the spin magnetization, the calculation gives 0.000 μB/atom. For the calculated density, the calculation gives 9.3 g/cm³.

It has space group P4/mmm (No. 123), with a = 5.385 Å, b = 5.385 Å, c = 3.389 Å, α = 90.00°, β = 90.00° and γ = 90.00°. The asymmetric unit holds Ga at (0.000, 0.500, 0.000), Hg at (0.000, 0.000, 0.500) and Bi at (0.500, 0.500, 0.500).

---

Question: The lowest calculated density belongs to which entry?
Answer: CaB6

---

Question: Which formula does entry 6 have?
Answer: HfTl2TeO6

---

Please write out number 7 again, unchanged.
Compound: TbCePr2Bi5
Source: Alexandria via LeMat-Bulk
Functional: GGA-PBE
Structure: optimized geometry

As for the formation energy: -98 meV/atom. For the spin magnetization, the calculation gives 0.000 μB/atom. For the calculated density, the calculation gives 7.3 g/cm³.

It has space group P4/mmm (No. 123), with a = 5.576 Å, b = 5.576 Å, c = 11.943 Å, α = 90.00°, β = 90.00° and γ = 90.00°. The asymmetric unit holds Tb at (0.000, 0.000, 0.000), Ce at (0.000, 0.000, 0.500), Pr at (0.500, 0.500, 0.277), Bi at (0.000, 0.000, 0.246), Bi at (0.000, 0.500, 0.500) and Bi at (0.500, 0.500, 0.000).

---

Question: Which value of calculated density does entry 7 give?
Answer: 7.3 g/cm³